1.
The following is a DFT calculation (GGA-PBEsol) of crystalline BaPCl2 at its relaxed geometry.

Cell: 4.377 5.562 8.018 Å, 90.00 90.00 90.00°
Space group Immm (No. 71)
Asymmetric unit:
Ba: 0.000 0.000 0.000 x2
P: 0.000 0.000 0.500 x2
Cl: 0.000 0.500 0.192 x4

Computed properties:
Volume (Å³/atom): 24.40
DOS(E_F) (states/eV per atom): 0.20
ΔE_f (raw) (eV per atom): -1.038
Relative energy among the computed polymorphs (meV per atom): 96
Crystal system: orthorhombic

=====

2.
The following is a DFT calculation (GGA-PBEsol) of crystalline BaP2PbCl at its relaxed geometry.

Cell: 5.542 5.542 5.582 Å, 90.00 90.00 90.00°
Space group P4/mmm (No. 123)
Asymmetric unit:
Ba: 0.000 0.000 0.000 x1
P: 0.000 0.500 0.000 x2
Pb: 0.500 0.500 0.500 x1
Cl: 0.000 0.000 0.500 x1

Computed properties:
Volume (Å³/atom): 34.28
DOS(E_F) (states/eV per atom): 1.23
ΔE_f (raw) (eV per atom): 0.461
Crystal system: tetragonal

=====

3.
The following is a DFT calculation (GGA-PBEsol) of crystalline BaPPbCl2 at its relaxed geometry.

Cell: 5.607 5.607 5.850 Å, 90.00 90.00 90.00°
Space group P4/mmm (No. 123)
Asymmetric unit:
Ba: 0.000 0.000 0.000 x1
P: 0.000 0.000 0.500 x1
Pb: 0.500 0.500 0.500 x1
Cl: 0.000 0.500 0.000 x2

Computed properties:
Volume (Å³/atom): 36.78
DOS(E_F) (states/eV per atom): 0.56
ΔE_f (raw) (eV per atom): -0.395
Crystal system: tetragonal

=====

4.
The following is a DFT calculation (GGA-PBEsol) of crystalline BaScPCl2 at its relaxed geometry.

Cell: 4.962 4.962 5.117 Å, 90.00 90.00 90.00°
Space group P4/mmm (No. 123)
Asymmetric unit:
Ba: 0.000 0.000 0.000 x1
Sc: 0.500 0.500 0.500 x1
P: 0.500 0.500 0.000 x1
Cl: 0.000 0.500 0.500 x2

Computed properties:
Volume (Å³/atom): 25.19
DOS(E_F) (states/eV per atom): 0.01
ΔE_f (raw) (eV per atom): -1.691
Crystal system: tetragonal

=====

5.
The following is a DFT calculation (GGA-PBEsol) of crystalline BaTcPCl2 at its relaxed geometry.

Cell: 5.669 5.669 6.300 Å, 90.00 90.00 90.00°
Space group P4/mmm (No. 123)
Asymmetric unit:
Ba: 0.000 0.000 0.000 x1
Tc: 0.500 0.500 0.500 x1
P: 0.000 0.000 0.500 x1
Cl: 0.000 0.500 0.000 x2

Computed properties:
Volume (Å³/atom): 40.49
DOS(E_F) (states/eV per atom): 0.73
ΔE_f (raw) (eV per atom): 0.680
Crystal system: tetragonal

=====

6.
The following is a DFT calculation (GGA-PBEsol) of crystalline BaZnPCl2 at its relaxed geometry.

Cell: 5.042 5.042 4.705 Å, 90.00 90.00 90.00°
Space group P4/mmm (No. 123)
Asymmetric unit:
Ba: 0.000 0.000 0.000 x1
Zn: 0.500 0.500 0.500 x1
P: 0.500 0.500 0.000 x1
Cl: 0.000 0.500 0.500 x2

Computed properties:
Volume (Å³/atom): 23.92
DOS(E_F) (states/eV per atom): 0.57
ΔE_f (raw) (eV per atom): -1.001
Crystal system: tetragonal

=====

7.
The following is a DFT calculation (GGA-PBEsol) of crystalline BaPb2Cl at its relaxed geometry.

Cell: 5.955 12.540 3.644 Å, 90.00 90.00 90.00°
Space group Cmmm (No. 65)
Asymmetric unit:
Ba: 0.000 0.000 0.000 x2
Pb: 0.250 0.250 0.500 x4
Cl: 0.000 0.500 0.000 x2

Computed properties:
Volume (Å³/atom): 34.01
DOS(E_F) (states/eV per atom): 0.73
ΔE_f (raw) (eV per atom): -0.533
Relative energy among the computed polymorphs (meV per atom): 335
Crystal system: orthorhombic

=====

8.
The following is a DFT calculation (GGA-PBEsol) of crystalline BaPbCl2 at its relaxed geometry.

Cell: 3.894 4.680 13.044 Å, 90.00 90.00 90.00°
Space group Imm2 (No. 44)
Asymmetric unit:
Ba: 0.000 0.000 0.000 x2
Pb: 0.000 0.500 0.234 x2
Cl: 0.000 0.000 0.458 x2
Cl: 0.000 0.500 0.689 x2

Computed properties:
Volume (Å³/atom): 29.72
DOS(E_F) (states/eV per atom): 0.42
ΔE_f (raw) (eV per atom): -1.341
Crystal system: orthorhombic

=====

9.
The following is a DFT calculation (GGA-PBEsol) of crystalline BaPb2Cl at its relaxed geometry.

Cell: 4.384 4.384 13.554 Å, 90.00 90.00 90.00°
Space group I4/mmm (No. 139)
Asymmetric unit:
Ba: 0.000 0.000 0.000 x2
Pb: 0.000 0.500 0.250 x4
Cl: 0.000 0.000 0.500 x2

Computed properties:
Volume (Å³/atom): 32.56
DOS(E_F) (states/eV per atom): 0.65
ΔE_f (raw) (eV per atom): -0.868
Relative energy among the computed polymorphs (meV per atom): 0
Crystal system: tetragonal

=====

10.
The following is a DFT calculation (GGA-PBEsol) of crystalline BaTa2PbCl at its relaxed geometry.

Cell: 5.305 5.305 5.480 Å, 90.00 90.00 90.00°
Space group P4/mmm (No. 123)
Asymmetric unit:
Ba: 0.000 0.000 0.000 x1
Ta: 0.000 0.500 0.000 x2
Pb: 0.500 0.500 0.500 x1
Cl: 0.000 0.000 0.500 x1

Computed properties:
Volume (Å³/atom): 30.85
DOS(E_F) (states/eV per atom): 1.77
ΔE_f (raw) (eV per atom): 2.159
Crystal system: tetragonal

=====

11.
The following is a DFT calculation (GGA-PBEsol) of crystalline Ba3PdCl at its relaxed geometry.

Cell: 6.128 6.128 6.128 Å, 90.00 90.00 90.00°
Space group Pm-3m (No. 221)
Asymmetric unit:
Ba: 0.000 0.000 0.500 x3
Pd: 0.000 0.000 0.000 x1
Cl: 0.500 0.500 0.500 x1

Computed properties:
Volume (Å³/atom): 46.03
DOS(E_F) (states/eV per atom): 0.79
ΔE_f (raw) (eV per atom): -0.538
Crystal system: cubic

=====

12.
The following is a DFT calculation (GGA-PBEsol) of crystalline Ba2PdCl at its relaxed geometry.

Cell: 7.741 7.741 7.741 Å, 90.00 90.00 90.00°
Space group Fm-3m (No. 225)
Asymmetric unit:
Ba: 0.250 0.250 0.250 x8
Pd: 0.000 0.000 0.000 x4
Cl: 0.000 0.000 0.500 x4

Computed properties:
Volume (Å³/atom): 28.99
DOS(E_F) (states/eV per atom): 0.60
ΔE_f (raw) (eV per atom): -1.020
Crystal system: cubic

=====

13.
The following is a DFT calculation (GGA-PBEsol) of crystalline Ba2Pd2Cl at its relaxed geometry.

Cell: 5.915 5.915 8.001 Å, 90.00 90.00 90.00°
Space group I4/mmm (No. 139)
Asymmetric unit:
Ba: 0.000 0.500 0.250 x4
Pd: 0.000 0.000 0.159 x4
Cl: 0.000 0.000 0.500 x2

Computed properties:
Volume (Å³/atom): 27.99
DOS(E_F) (states/eV per atom): 0.60
ΔE_f (raw) (eV per atom): -0.689
Crystal system: tetragonal

=====

14.
The following is a DFT calculation (GGA-PBEsol) of crystalline BaPdCl4 at its relaxed geometry.

Cell: 6.828 12.402 7.494 Å, 90.00 90.00 90.00°
Space group Pbcn (No. 60)
Asymmetric unit:
Ba: 0.000 0.147 0.250 x4
Pd: 0.000 0.500 0.000 x4
Cl: 0.111 0.327 0.530 x8
Cl: 0.207 0.065 0.603 x8

Computed properties:
Volume (Å³/atom): 26.44
ΔE_f (raw) (eV per atom): -1.498
Crystal system: orthorhombic

=====

15.
The following is a DFT calculation (GGA-PBEsol) of crystalline BaPtCl2 at its relaxed geometry.

Cell: 5.5920 5.5920 10.7798 Å, 90.00 90.00 120.00°
Space group R-3m (No. 166, hexagonal axes)
Asymmetric unit:
Ba: 0.0000 0.0000 0.0000 x3
Pt: 0.0000 0.0000 0.5000 x3
Cl: 0.0000 0.0000 0.2910 x6

Computed properties:
Volume (Å³/atom): 24.33
DOS(E_F) (states/eV per atom): 0.00
ΔE_f (raw) (eV per atom): -1.300
Relative energy among the computed polymorphs (meV per atom): 0
Crystal system: trigonal

=====

16.
The following is a DFT calculation (GGA-PBEsol) of crystalline BaPtCl2 at its relaxed geometry.

Cell: 4.761 4.761 3.961 Å, 90.00 90.00 90.00°
Space group P4/mmm (No. 123)
Asymmetric unit:
Ba: 0.000 0.000 0.000 x1
Pt: 0.500 0.500 0.000 x1
Cl: 0.000 0.500 0.500 x2

Computed properties:
Volume (Å³/atom): 22.44
DOS(E_F) (states/eV per atom): 0.85
ΔE_f (raw) (eV per atom): -0.848
Relative energy among the computed polymorphs (meV per atom): 452
Crystal system: tetragonal

=====

17.
The following is a DFT calculation (GGA-PBEsol) of crystalline BaPt2Cl at its relaxed geometry.

Cell: 4.266 4.266 5.463 Å, 90.00 90.00 90.00°
Space group P4/mmm (No. 123)
Asymmetric unit:
Ba: 0.000 0.000 0.000 x1
Pt: 0.500 0.500 0.240 x2
Cl: 0.000 0.000 0.500 x1

Computed properties:
Volume (Å³/atom): 24.85
DOS(E_F) (states/eV per atom): 1.21
ΔE_f (raw) (eV per atom): 0.041
Crystal system: tetragonal

=====

18.
The following is a DFT calculation (GGA-PBEsol) of crystalline Rb2BaCl4 at its relaxed geometry.

Cell: 9.436 9.436 9.536 Å, 90.00 90.00 90.00°
Space group I-42d (No. 122)
Asymmetric unit:
Rb: 0.113 0.750 0.125 x8
Ba: 0.000 0.000 0.500 x4
Cl: 0.070 0.679 0.462 x16

Computed properties:
Volume (Å³/atom): 30.33
DOS(E_F) (states/eV per atom): 0.00
ΔE_f (raw) (eV per atom): -2.184
Crystal system: tetragonal

=====

19.
The following is a DFT calculation (GGA-PBEsol) of crystalline BaReCl at its relaxed geometry.

Cell: 7.539 7.539 7.539 Å, 90.00 90.00 90.00°
Space group F-43m (No. 216)
Asymmetric unit:
Ba: 0.000 0.000 0.000 x4
Re: 0.250 0.250 0.750 x4
Cl: 0.250 0.250 0.250 x4

Computed properties:
Volume (Å³/atom): 35.71
DOS(E_F) (states/eV per atom): 1.28
ΔE_f (raw) (eV per atom): 1.218
Relative energy among the computed polymorphs (meV per atom): 186
Crystal system: cubic

=====

20.
The following is a DFT calculation (GGA-PBEsol) of crystalline Ba2ReCl at its relaxed geometry.

Cell: 4.439 4.439 11.999 Å, 90.00 90.00 90.00°
Space group I-4m2 (No. 119)
Asymmetric unit:
Ba: 0.000 0.000 0.000 x2
Ba: 0.000 0.500 0.250 x2
Re: 0.000 0.500 0.750 x2
Cl: 0.000 0.000 0.500 x2

Computed properties:
Volume (Å³/atom): 29.56
DOS(E_F) (states/eV per atom): 1.19
ΔE_f (raw) (eV per atom): 0.406
Relative energy among the computed polymorphs (meV per atom): 359
Crystal system: tetragonal